1.
This record from Alexandria describes crystalline Mo2AuCl at its relaxed geometry. The functional is PBE-GGA.

Structure (POSCAR):
```
Mo2AuCl
1.0
-0.120 1.191 5.295
-4.945 0.891 2.053
3.547 -3.401 -2.306
Au Cl Mo
1 1 2
Direct
0.750 0.250 0.500
0.250 0.750 0.500
0.025 0.025 0.000
0.475 0.475 0.000
```

## Properties
E_tot   -6.024 eV/atom
E_form (uncorrected)   260 kJ/mol of formula units
Symmetry   Immm (71)
DOS at the Fermi energy   3.9 states/eV/cell

***

2.
This record from Alexandria describes crystalline MoAu2Cl at its relaxed geometry. The functional is PBE-GGA.

Structure (POSCAR):
```
MoAu2Cl
1.0
8.964 -0.012 -0.007
8.444 3.010 -0.007
8.444 1.454 2.635
Au Cl Mo
2 1 1
Direct
0.001 0.001 0.001
0.499 0.499 0.499
0.250 0.250 0.250
0.750 0.750 0.750
```

## Properties
E_tot   -4.529 eV/atom
E_form (uncorrected)   108 kJ/mol of formula units
Symmetry   R-3m (166)
DOS at the Fermi energy   2.0 states/eV/cell

***

3.
This record from Alexandria describes crystalline MoAu2Cl at its relaxed geometry. The functional is PBE-GGA.

Structure (POSCAR):
```
MoAu2Cl
1.0
-1.281 -1.192 2.449
2.665 -0.778 1.016
0.667 7.296 3.900
Au Cl Mo
2 1 1
Direct
0.000 0.248 0.979
0.000 0.252 0.521
0.500 0.250 0.250
0.500 0.750 0.750
```

## Properties
E_tot   -4.576 eV/atom
E_form (uncorrected)   89 kJ/mol of formula units
Symmetry   P2/m (10)
DOS at the Fermi energy   2.5 states/eV/cell

***

4.
This record from Alexandria describes crystalline MoAuCl4 at its relaxed geometry. The functional is PBE-GGA.

Structure (POSCAR):
```
MoAuCl4
1.0
0.000 4.087 4.087
4.087 0.000 4.087
4.087 4.087 0.000
Mo Au Cl
1 1 4
Direct
0.750 0.750 0.750
0.000 0.000 0.000
0.876 0.375 0.375
0.375 0.375 0.876
0.375 0.876 0.375
0.375 0.375 0.375
```

## Properties
E_tot   -2.478 eV/atom
E_form (uncorrected)   639 kJ/mol of formula units
Symmetry   F-43m (216)
DOS at the Fermi energy   8.6 states/eV/cell

***

5.
This record from Alexandria describes crystalline MoAu2Cl at its relaxed geometry. The functional is PBE-GGA.

Structure (POSCAR):
```
MoAu2Cl
1.0
5.530 0.009 -0.003
-3.019 4.633 -0.003
0.003 0.006 2.827
Au Cl Mo
2 1 1
Direct
0.000 0.000 0.000
0.500 0.500 0.000
0.500 0.000 0.500
0.000 0.500 0.500
```

## Properties
E_tot   -4.319 eV/atom
E_form (uncorrected)   189 kJ/mol of formula units
Symmetry   C2/m (12)
DOS at the Fermi energy   2.7 states/eV/cell

***

6.
This record from Alexandria describes crystalline MoAuCl at its relaxed geometry. The functional is PBE-GGA.

Structure (POSCAR):
```
MoAuCl
1.0
7.993 0.044 -0.026
7.122 2.918 -0.016
0.871 -1.361 2.532
Au Cl Mo
1 1 1
Direct
0.019 0.019 0.981
0.303 0.303 0.697
0.678 0.678 0.322
```

## Properties
E_tot   -5.044 eV/atom
E_form (uncorrected)   79 kJ/mol of formula units
Symmetry   Fmm2 (42)
DOS at the Fermi energy   2.9 states/eV/cell